# Ta2MnNi, optimized geometry, DFT PBE
# **Energy relative to the lowest polymorph listed for this composition**: 0.000 eV/atom
# **Spin magnetization**: 0.00 μB per formula unit
# **E_form**: -0.14 eV/atom
data_Ta2MnNi
_cell_length_a 4.3528
_cell_length_b 4.3528
_cell_length_c 3.0593
_cell_angle_alpha 90.00
_cell_angle_beta 90.00
_cell_angle_gamma 90.00
_space_group_name_H-M_alt 'P 4/m m m'
_space_group_IT_number 123
_space_group_name_Hall '-P 4 2'
loop_
_atom_site_label
_atom_site_fract_x
_atom_site_fract_y
_atom_site_fract_z
Ta1 0.0000 0.5000 0.0000
Mn1 0.0000 0.0000 0.5000
Ni1 0.5000 0.5000 0.5000

=====

# MgFeCl2, optimized geometry, DFT PBE
# **Energy relative to the lowest polymorph listed for this composition**: 0.068 eV/atom
# **Spin magnetization**: 3.71 μB per formula unit
# **Energy relative to the elements, uncorrected**: -0.452 eV/atom
data_MgFeCl2
_cell_length_a 3.4017
_cell_length_b 3.4017
_cell_length_c 26.3549
_cell_angle_alpha 90.00
_cell_angle_beta 90.00
_cell_angle_gamma 120.00
_space_group_name_H-M_alt 'R -3 m'
_space_group_IT_number 166
_space_group_name_Hall '-R 3 2"'
loop_
_atom_site_label
_atom_site_fract_x
_atom_site_fract_y
_atom_site_fract_z
Mg1 0.0000 0.0000 0.0000
Fe1 0.0000 0.0000 0.5000
Cl1 0.0000 0.0000 0.1103

=====

# KIN2, optimized geometry, DFT PBE
# **Energy relative to the lowest polymorph listed for this composition**: 0.000 eV/atom
# **Spin magnetization**: 0.00 μB per formula unit
# **Energy relative to the elements, uncorrected**: -0.701 eV/atom
data_KIN2
_cell_length_a 4.8975
_cell_length_b 4.9194
_cell_length_c 7.3237
_cell_angle_alpha 81.54
_cell_angle_beta 80.88
_cell_angle_gamma 89.91
_space_group_name_H-M_alt 'P 1'
_space_group_IT_number 1
loop_
_space_group_symop_operation_xyz
'x,y,z'
loop_
_atom_site_label
_atom_site_fract_x
_atom_site_fract_y
_atom_site_fract_z
K1 0.0000 0.0000 0.0000
I1 0.5002 0.5003 0.9983
N1 0.0059 0.9727 0.4264
N2 0.0246 0.9894 0.5738

=====

# PmBiAu2, optimized geometry, DFT PBE
# **Energy relative to the lowest polymorph listed for this composition**: 0.065 eV/atom
# **Spin magnetization**: 0.00 μB per formula unit
# **E_form**: -0.54 eV/atom
data_PmBiAu2
_cell_length_a 3.8276
_cell_length_b 3.8276
_cell_length_c 6.7584
_cell_angle_alpha 90.00
_cell_angle_beta 90.00
_cell_angle_gamma 90.00
_space_group_name_H-M_alt 'P 4/m m m'
_space_group_IT_number 123
_space_group_name_Hall '-P 4 2'
loop_
_atom_site_label
_atom_site_fract_x
_atom_site_fract_y
_atom_site_fract_z
Pm1 0.0000 0.0000 0.0000
Bi1 0.0000 0.0000 0.5000
Au1 0.5000 0.5000 0.2337

=====

# Ga2PtC4, optimized geometry, DFT PBE
# **Spin magnetization**: 1.18 μB per formula unit
# **E_form**: 2.19 eV/atom
data_Ga2PtC4
_cell_length_a 4.1972
_cell_length_b 4.1972
_cell_length_c 10.3747
_cell_angle_alpha 90.00
_cell_angle_beta 90.00
_cell_angle_gamma 90.00
_space_group_name_H-M_alt 'I 4/m m m'
_space_group_IT_number 139
_space_group_name_Hall '-I 4 2'
loop_
_atom_site_label
_atom_site_fract_x
_atom_site_fract_y
_atom_site_fract_z
Ga1 0.0000 0.0000 0.1208
Pt1 0.0000 0.0000 0.5000
C1 0.0000 0.0000 0.3034
C2 0.0000 0.5000 0.0000

=====

# Tc2PRu, optimized geometry, DFT PBE
# **Spin magnetization**: 0.00 μB per formula unit
# **E_form**: -0.06 eV/atom
data_Tc2PRu
_cell_length_a 2.7870
_cell_length_b 2.7870
_cell_length_c 24.5747
_cell_angle_alpha 90.00
_cell_angle_beta 90.00
_cell_angle_gamma 120.00
_space_group_name_H-M_alt 'R -3 m'
_space_group_IT_number 166
_space_group_name_Hall '-R 3 2"'
loop_
_atom_site_label
_atom_site_fract_x
_atom_site_fract_y
_atom_site_fract_z
Tc1 0.0000 0.0000 0.2440
P1 0.0000 0.0000 0.5000
Ru1 0.0000 0.0000 0.0000

=====

# NaDyTlCl5, optimized geometry, DFT PBE
# **Spin magnetization**: 0.00 μB per formula unit
# **Energy relative to the elements, uncorrected**: -1.846 eV/atom
data_NaDyTlCl5
_cell_length_a 8.6402
_cell_length_b 13.0011
_cell_length_c 10.0507
_cell_angle_alpha 90.00
_cell_angle_beta 110.16
_cell_angle_gamma 90.00
_space_group_name_H-M_alt 'C 1 2/c 1'
_space_group_IT_number 15
loop_
_space_group_symop_operation_xyz
'x,y,z'
'-x,-y,-z'
'-x,y,-z+1/2'
'x,-y,z+1/2'
'x+1/2,y+1/2,z'
'-x+1/2,-y+1/2,-z'
'-x+1/2,y+1/2,-z+1/2'
'x+1/2,-y+1/2,z+1/2'
loop_
_atom_site_label
_atom_site_fract_x
_atom_site_fract_y
_atom_site_fract_z
Na1 0.0000 0.1865 0.2500
Dy1 0.0000 0.5000 0.0000
Tl1 0.0000 0.1413 0.7500
Cl1 0.0000 0.4259 0.7500
Cl2 0.1106 0.3167 0.0996
Cl3 0.1889 0.0545 0.4438

=====

# SrErHg4, optimized geometry, DFT PBE
# **Energy relative to the lowest polymorph listed for this composition**: 0.168 eV/atom
# **Spin magnetization**: 0.00 μB per formula unit
# **E_form**: -0.22 eV/atom
data_SrErHg4
_cell_length_a 4.4255
_cell_length_b 4.4255
_cell_length_c 9.5892
_cell_angle_alpha 90.00
_cell_angle_beta 90.00
_cell_angle_gamma 90.00
_space_group_name_H-M_alt 'P 4/m m m'
_space_group_IT_number 123
_space_group_name_Hall '-P 4 2'
loop_
_atom_site_label
_atom_site_fract_x
_atom_site_fract_y
_atom_site_fract_z
Sr1 0.0000 0.0000 0.0000
Er1 0.5000 0.5000 0.5000
Hg1 0.0000 0.5000 0.2732

=====

# CePm3Ga3, optimized geometry, DFT PBE
# **Spin magnetization**: 1.28 μB per formula unit
# **E_form**: -0.36 eV/atom
data_CePm3Ga3
_cell_length_a 9.3786
_cell_length_b 9.3786
_cell_length_c 4.9004
_cell_angle_alpha 90.00
_cell_angle_beta 90.00
_cell_angle_gamma 120.00
_space_group_name_H-M_alt 'P 63/m'
_space_group_IT_number 176
_space_group_name_Hall '-P 6c'
loop_
_atom_site_label
_atom_site_fract_x
_atom_site_fract_y
_atom_site_fract_z
Ce1 0.3333 0.6667 0.2500
Pm1 0.0143 0.2575 0.7500
Ga1 0.0621 0.6083 0.7500

=====

# Er2HN, optimized geometry, DFT PBE
# **Energy relative to the lowest polymorph listed for this composition**: 0.000 eV/atom
# **Spin magnetization**: 0.00 μB per formula unit
data_Er2HN
_cell_length_a 3.4507
_cell_length_b 3.4507
_cell_length_c 16.7427
_cell_angle_alpha 90.00
_cell_angle_beta 90.00
_cell_angle_gamma 120.00
_space_group_name_H-M_alt 'R -3 m'
_space_group_IT_number 166
_space_group_name_Hall '-R 3 2"'
loop_
_atom_site_label
_atom_site_fract_x
_atom_site_fract_y
_atom_site_fract_z
Er1 0.0000 0.0000 0.2435
H1 0.0000 0.0000 0.0000
N1 0.0000 0.0000 0.5000

=====

# KNaAs2Se4, optimized geometry, DFT PBE
# **Spin magnetization**: 0.00 μB per formula unit
# **Energy relative to the elements, uncorrected**: -0.357 eV/atom
data_KNaAs2Se4
_cell_length_a 10.7064
_cell_length_b 8.0271
_cell_length_c 6.1362
_cell_angle_alpha 90.00
_cell_angle_beta 124.91
_cell_angle_gamma 90.00
_space_group_name_H-M_alt 'C 1 2 1'
_space_group_IT_number 5
loop_
_space_group_symop_operation_xyz
'x,y,z'
'-x,y,-z'
'x+1/2,y+1/2,z'
'-x+1/2,y+1/2,-z'
loop_
_atom_site_label
_atom_site_fract_x
_atom_site_fract_y
_atom_site_fract_z
K1 0.0000 0.0000 0.0000
Na1 0.0000 0.5000 0.5000
As1 0.1522 0.5000 0.1530
Se1 0.2503 0.2498 0.0010
Se2 0.2497 0.2502 0.5005

=====

# ReAgPb2C, optimized geometry, DFT PBE
# **Spin magnetization**: 0.87 μB per formula unit
# **E_form**: 1.01 eV/atom
data_ReAgPb2C
_cell_length_a 5.2178
_cell_length_b 5.2178
_cell_length_c 3.9752
_cell_angle_alpha 90.00
_cell_angle_beta 90.00
_cell_angle_gamma 90.00
_space_group_name_H-M_alt 'P 4/m m m'
_space_group_IT_number 123
_space_group_name_Hall '-P 4 2'
loop_
_atom_site_label
_atom_site_fract_x
_atom_site_fract_y
_atom_site_fract_z
Re1 0.0000 0.0000 0.0000
Ag1 0.5000 0.5000 0.0000
Pb1 0.0000 0.5000 0.5000
C1 0.0000 0.0000 0.5000